Y2AgAu2 | PBE | relaxed

The structure in POSCAR format:
```
Y2AgAu2
1.0
6.420 0.964 4.475
3.168 -3.443 6.347
-3.327 -0.572 -7.126
Au Y Ag
2 2 1
Cartesian
3.944 -0.424 1.380 Au
2.318 -2.627 2.316 Au
3.753 -0.970 4.237 Y
5.835 -1.508 6.586 Y
0.000 0.000 0.000 Ag
```

Output
Polymorph energy (0 for the lowest one) in eV/atom: 0.387
Formation energy in kJ per mole of atoms: -31
Space-group type: I4/mmm
Magnetic moment in μB per cell: 0.0

---

YAgAu | PBE | relaxed

The structure in POSCAR format:
```
YAgAu
1.0
-0.966 -3.213 -1.642
3.511 -0.444 -1.198
2.054 -4.557 7.708
Au Ag Y
2 2 2
Cartesian
1.954 -3.342 1.140 Au
2.644 -4.872 3.728 Au
0.346 -0.768 1.299 Ag
1.708 -3.789 6.409 Ag
1.272 -1.829 -1.420 Y
1.027 -2.278 3.854 Y
```

Output
Polymorph energy (0 for the lowest one) in eV/atom: 0.015
Formation energy in kJ per mole of atoms: -59
Space-group type: P4/mmm
Magnetic moment in μB per cell: 0.0

---

YAgAu | PBE | relaxed

The structure in POSCAR format:
```
YAgAu
1.0
0.000 3.343 3.343
3.343 0.000 3.343
3.343 3.343 0.000
Ag Y Au
1 1 1
Cartesian
1.672 1.672 1.672 Ag
5.015 5.015 5.015 Y
0.000 0.000 0.000 Au
```

Output
Polymorph energy (0 for the lowest one) in eV/atom: 0.171
Formation energy in kJ per mole of atoms: -44
Space-group type: F-43m
Magnetic moment in μB per cell: 0.0

---

YAgAu | PBE | relaxed

The structure in POSCAR format:
```
YAgAu
1.0
-2.038 -2.083 -4.403
3.126 -2.600 -3.380
-0.967 -4.531 2.590
Y Ag Au
2 2 2
Cartesian
0.802 -7.535 -4.722 Y
-0.681 -1.678 -0.471 Y
-0.298 -3.247 -3.071 Ag
0.419 -5.966 -2.122 Ag
0.060 -4.408 0.470 Au
0.062 -4.806 -5.662 Au
```

Output
Polymorph energy (0 for the lowest one) in eV/atom: 0.000
Formation energy in kJ per mole of atoms: -61
Space-group type: P2_1/m
Magnetic moment in μB per cell: 0.0

---

YAgAu | PBE | relaxed

The structure in POSCAR format:
```
YAgAu
1.0
-1.868 1.868 4.586
1.868 -1.868 4.586
1.868 1.868 -4.586
Au Ag Y
1 1 1
Cartesian
0.000 0.000 3.073 Au
0.000 0.000 6.140 Ag
0.000 0.000 9.133 Y
```

Output
Polymorph energy (0 for the lowest one) in eV/atom: 0.005
Formation energy in kJ per mole of atoms: -60
Space-group type: I4mm
Magnetic moment in μB per cell: 0.0

---

YZnAgAu | PBE | relaxed

The structure in POSCAR format:
```
YZnAgAu
1.0
-4.781 0.280 0.674
-2.613 3.200 -2.514
-3.022 -1.526 -3.454
Au Y Ag Zn
1 1 1 1
Cartesian
0.000 0.000 0.000 Au
-7.812 1.466 -3.970 Y
-2.604 0.489 -1.323 Ag
-5.208 0.977 -2.647 Zn
```

Output
Polymorph energy (0 for the lowest one) in eV/atom: 0.016
Formation energy in kJ per mole of atoms: -42
Space-group type: F-43m
Magnetic moment in μB per cell: 0.0

---

YZnAgAu | PBE | relaxed

The structure in POSCAR format:
```
YZnAgAu
1.0
0.000 3.395 3.395
3.395 0.000 3.395
3.395 3.395 0.000
Y Au Ag Zn
1 1 1 1
Cartesian
5.093 5.093 5.093 Y
1.698 1.698 1.698 Au
3.395 3.395 3.395 Ag
0.000 0.000 0.000 Zn
```

Output
Polymorph energy (0 for the lowest one) in eV/atom: 0.064
Formation energy in kJ per mole of atoms: -37
Space-group type: F-43m
Magnetic moment in μB per cell: 0.0

---

YZnAgAu | PBE | relaxed

The structure in POSCAR format:
```
YZnAgAu
1.0
-2.887 -3.828 0.630
-3.908 0.358 2.827
-4.419 -0.046 -1.966
Au Y Ag Zn
1 1 1 1
Cartesian
0.000 0.000 0.000 Au
-8.411 -2.637 1.119 Y
-5.607 -1.758 0.746 Ag
-2.804 -0.879 0.373 Zn
```

Output
Polymorph energy (0 for the lowest one) in eV/atom: 0.000
Formation energy in kJ per mole of atoms: -44
Space-group type: F-43m
Magnetic moment in μB per cell: 0.0

---

Zr4Ag3Au | PBE | relaxed

The structure in POSCAR format:
```
Zr4Ag3Au
1.0
-1.020 2.135 -4.370
3.981 -2.197 -2.004
-3.668 -5.138 -1.654
Zr Ag Au
4 3 1
Cartesian
-2.369 -3.317 -1.070 Zr
-0.351 -0.815 -5.966 Zr
-0.888 -3.350 -4.253 Zr
-1.807 -0.747 -2.772 Zr
-2.281 -3.520 -6.834 Ag
1.055 -0.630 -3.375 Ag
-0.427 -0.595 -0.196 Ag
-3.723 -3.430 -3.636 Au
```

Output
Formation energy in kJ per mole of atoms: -23
Space-group type: Pm
Magnetic moment in μB per cell: 0.0

---

Zr4AgAu | PBE | relaxed

The structure in POSCAR format:
```
Zr4AgAu
1.0
3.299 0.000 0.000
0.000 3.299 0.000
0.000 0.000 11.805
Zr Ag Au
4 1 1
Cartesian
0.000 0.000 7.833 Zr
1.650 1.650 1.888 Zr
0.000 0.000 3.972 Zr
1.650 1.650 9.917 Zr
1.650 1.650 5.902 Ag
0.000 0.000 0.000 Au
```

Output
Formation energy in kJ per mole of atoms: -25
Space-group type: P4/mmm
Magnetic moment in μB per cell: 0.0

---

Ag4B | PBE | relaxed

The structure in POSCAR format:
```
Ag4B
1.0
-0.100 3.095 2.608
-2.683 -2.004 2.275
7.344 -4.054 5.091
Ag B
8 2
Cartesian
2.056 -1.135 1.425 Ag
5.288 -2.919 3.666 Ag
3.649 -0.495 3.868 Ag
-1.391 0.546 2.442 Ag
0.000 0.000 0.000 Ag
3.897 -2.374 6.107 Ag
2.303 -3.014 3.664 Ag
0.665 -0.589 3.867 Ag
6.207 -1.907 5.641 B
-0.254 -1.602 1.891 B
```

Output
Space-group type: P4/nmm

---

BaAgB4 | PBE | relaxed

The structure in POSCAR format:
```
BaAgB4
1.0
3.196 0.000 0.000
-1.598 2.768 0.000
0.000 0.000 8.557
B Ag Ba
4 1 1
Cartesian
0.000 1.845 1.837 B
0.000 1.845 6.719 B
1.598 0.923 6.719 B
1.598 0.923 1.837 B
0.000 0.000 0.000 Ag
0.000 0.000 4.278 Ba
```

Output
Space-group type: P6/mmm

---

Number 1: final energy -4.77 eV per atom. Number 2: final energy -4.80 eV per atom. Number 3: final energy -4.64 eV per atom. Number 4: final energy -4.81 eV per atom. Number 5: final energy -4.81 eV per atom. Number 6: final energy -3.89 eV per atom. Number 7: final energy -3.84 eV per atom. Number 8: final energy -3.91 eV per atom. Number 9: final energy -5.97 eV per atom. Number 10: final energy -6.98 eV per atom. Number 11: final energy -3.13 eV per atom. Number 12: final energy -4.75 eV per atom.